## Sm3Ho4Tm (PBE)

Data for crystalline Sm3Ho4Tm at its relaxed geometry.

The structure in POSCAR format:
```
Sm3Ho4Tm
1.0
11.5106 0.0000 0.0000
0.0000 6.1821 0.0000
0.0000 0.0000 7.1470
Sm Ho Tm
6 8 2
direct
0.0000 0.1675 0.0000
0.2492 0.4986 0.4999
0.2508 0.5014 0.9999
0.5000 0.8325 0.5000
0.7492 0.5014 0.9999
0.7508 0.4986 0.4999
0.0000 0.1678 0.5006
0.0000 0.6677 0.2510
0.2503 0.0003 0.2501
0.2497 0.9997 0.7501
0.5000 0.3323 0.7510
0.5000 0.8322 0.0006
0.7497 0.0003 0.2501
0.7503 0.9997 0.7501
0.0000 0.6674 0.7490
0.5000 0.3326 0.2490
```

Total energy: -73.842 eV per cell
Calculated volume: 509 Å³ per cell
E above lowest polymorph: 0.0000 eV/atom
Formation enthalpy at 0 K: 0.0024 eV/atom


## Sr2CaSi6 (PBE)

Data for crystalline Sr2CaSi6 at its relaxed geometry.

The structure in POSCAR format:
```
Sr2CaSi6
1.0
7.1089 0.0000 0.0000
-3.5544 6.1565 0.0000
0.0000 0.0000 4.5689
Sr Ca Si
2 1 6
direct
0.3333 0.6667 0.0000
0.6667 0.3333 0.0000
0.0000 0.0000 0.0000
0.0000 0.3317 0.5000
0.0000 0.6683 0.5000
0.3317 0.0000 0.5000
0.3317 0.3317 0.5000
0.6683 0.0000 0.5000
0.6683 0.6683 0.5000
```

Total energy: -40.669 eV per cell
Calculated volume: 200 Å³ per cell
Formation energy (no corrections): -0.307 eV/atom